Entry from Alexandria via LeMat-Bulk: a geometry-optimized Sr2BeMoC structure (GGA-PBE).

Lattice parameters (Å, degrees): 5.6548 5.6548 4.2868 90.00 90.00 90.00
Closest atoms and distances in Å follow each position.
Atoms (fractional coordinates):
Sr 0.0000 0.5000 0.0000  2 Mo 2.83
Sr 0.5000 0.0000 0.0000  2 Mo 2.83
Be 0.0000 0.0000 0.5000  2 Mo 2.14
Mo 0.0000 0.0000 0.0000  2 Be 2.14
C 0.5000 0.5000 0.5000  8 Sr 3.55

DFT formation energy: 1.9204 eV per atom
E: -3.51 eV/atom
Total moment: 0.62 μB/atom



Entry from Alexandria via LeMat-Bulk: a geometry-optimized Al2OsCl structure (GGA-PBE).

Lattice parameters (Å, degrees): 6.8657 6.8657 6.8657 128.63 128.63 75.61
Closest atoms and distances in Å follow each position.
Atoms (fractional coordinates):
Al 0.0897 0.6250 0.9647  2 Os 2.38, 2 Cl 2.63
Al 0.3750 0.3397 0.4647  2 Os 2.38, 2 Cl 2.63
Al 0.6603 0.1250 0.0353  2 Os 2.38, 2 Cl 2.63
Al 0.8750 0.9103 0.5353  2 Os 2.38, 2 Cl 2.63
Os 0.0000 0.0000 0.0000  4 Al 2.38
Os 0.7500 0.2500 0.5000  4 Al 2.38
Cl 0.2500 0.7500 0.5000  4 Al 2.63
Cl 0.5000 0.5000 0.0000  4 Al 2.63

Polymorph energy (0 for the lowest one): 84.0 kJ per mole of atoms
E: -4.75 eV/atom
Total moment: 0.00 μB/atom



Entry from Alexandria via LeMat-Bulk: a geometry-optimized Al2HgAsW structure (GGA-PBE).

Lattice parameters (Å, degrees): 4.7565 4.7565 5.4032 90.00 90.00 90.00
Closest atoms and distances in Å follow each position.
Atoms (fractional coordinates):
Al 0.0000 0.5000 0.0000  2 Hg 2.38
Al 0.5000 0.0000 0.0000  2 Hg 2.38
Hg 0.0000 0.0000 0.0000  4 Al 2.38
As 0.5000 0.5000 0.5000  4 W 3.36, 8 Al 3.60
W 0.0000 0.0000 0.5000  2 Hg 2.70

DFT formation energy: 1.5027 eV per atom
E: -3.58 eV/atom
Total moment: 0.59 μB/atom



Entry from Alexandria via LeMat-Bulk: a geometry-optimized CoSn4Ru structure (GGA-PBE).

Lattice parameters (Å, degrees): 5.9663 3.4306 6.6665 90.00 107.65 90.00
Closest atoms and distances in Å follow each position.
Atoms (fractional coordinates):
Co 0.0000 0.0000 0.0000  6 Sn 2.60
Sn 0.0659 0.5000 0.7307  2 Co 2.60, 1 Ru 2.67
Sn 0.4164 0.0000 0.2755  1 Co 2.60, 2 Ru 2.67, 1 Sn 2.85
Sn 0.5836 0.0000 0.7245  1 Co 2.60, 2 Ru 2.67, 1 Sn 2.85
Sn 0.9341 0.5000 0.2693  2 Co 2.60, 1 Ru 2.67
Ru 0.5000 0.5000 0.0000  6 Sn 2.67

DFT formation energy: 0.0659 eV per atom
E: -5.33 eV/atom
Total moment: 0.03 μB/atom



Entry from Alexandria via LeMat-Bulk: a geometry-optimized CoCuSe structure (GGA-PBE).

Lattice parameters (Å, degrees): 3.6786 3.6786 9.2414 90.00 90.00 120.00
Closest atoms and distances in Å follow each position.
Atoms (fractional coordinates):
Co 0.3333 0.6667 0.2818  3 Se 2.30, 1 Cu 2.55
Co 0.6667 0.3333 0.7182  3 Se 2.30, 1 Cu 2.55
Cu 0.3333 0.6667 0.5580  1 Se 2.37, 3 Cu 2.38, 4 Co 2.55-2.59
Cu 0.6667 0.3333 0.4420  1 Se 2.37, 3 Cu 2.38, 4 Co 2.55-2.59
Se 0.3333 0.6667 0.8146  3 Co 2.30, 1 Cu 2.37
Se 0.6667 0.3333 0.1854  3 Co 2.30, 1 Cu 2.37

Polymorph energy (0 for the lowest one): 9.7 kJ per mole of atoms
E: -4.78 eV/atom
Total moment: 0.00 μB/atom



Entry from Alexandria via LeMat-Bulk: a geometry-optimized BiP2RhO structure (GGA-PBE).

Lattice parameters (Å, degrees): 5.2016 5.2016 4.0500 90.00 90.00 90.00
Closest atoms and distances in Å follow each position.
Atoms (fractional coordinates):
Bi 0.0000 0.0000 0.0000  2 O 2.02
P 0.0000 0.5000 0.0000  2 Bi 2.60
P 0.5000 0.0000 0.0000  2 Bi 2.60
Rh 0.5000 0.5000 0.5000  8 P 3.30, 4 O 3.68
O 0.0000 0.0000 0.5000  2 Bi 2.02

Polymorph energy (0 for the lowest one): 98.4 kJ per mole of atoms
E: -4.27 eV/atom
Total moment: 0.00 μB/atom



Entry from Alexandria via LeMat-Bulk: a geometry-optimized CaLaGa structure (GGA-PBE).

Lattice parameters (Å, degrees): 9.1946 9.1946 5.6144 95.95 95.95 22.72
Closest atoms and distances in Å follow each position.
Atoms (fractional coordinates):
Ca 0.2057 0.2057 0.2315  2 Ga 3.16
Ca 0.7943 0.7943 0.7685  2 Ga 3.16
La 0.0754 0.0754 0.6898  6 Ga 3.22-3.42, 1 La 3.27
La 0.9246 0.9246 0.3102  6 Ga 3.22-3.42, 1 La 3.27
Ga 0.4387 0.4387 0.8293  1 Ga 2.77
Ga 0.5613 0.5613 0.1707  1 Ga 2.77

Polymorph energy (0 for the lowest one): 10.2 kJ per mole of atoms
DFT formation energy: -0.3380 eV per atom
E: -3.66 eV/atom
Total moment: 0.00 μB/atom



Entry from Alexandria via LeMat-Bulk: a geometry-optimized Ca3Ac4Pr structure (GGA-PBE).

Lattice parameters (Å, degrees): 11.0560 7.8254 7.8361 90.00 90.00 90.00
Closest atoms and distances in Å follow each position.
Atoms (fractional coordinates):
Ca 0.0000 0.0001 0.0000  8 Ac 3.91-3.95, 4 Ca 3.91
Ca 0.2500 0.2496 0.2501  8 Ac 3.85-3.98, 2 Ca 3.91, 2 Pr 3.91-3.92
Ca 0.2500 0.7504 0.7501  8 Ac 3.85-3.98, 2 Ca 3.91, 2 Pr 3.91-3.92
Ca 0.5000 0.9999 0.5000  8 Ac 3.91-3.95, 4 Ca 3.91
Ca 0.7500 0.2496 0.2501  8 Ac 3.85-3.98, 2 Ca 3.91, 2 Pr 3.91-3.92
Ca 0.7500 0.7504 0.7501  8 Ac 3.85-3.98, 2 Ca 3.91, 2 Pr 3.91-3.92
Ac 0.0000 0.0005 0.5006  2 Pr 3.91-3.92, 6 Ca 3.91-3.92, 4 Ac 3.95
Ac 0.0000 0.4993 0.9996  4 Ac 3.88, 6 Ca 3.91-3.92, 2 Pr 3.91-3.93
Ac 0.2492 0.7412 0.2500  6 Ca 3.85-3.98, 2 Pr 3.87-3.88, 4 Ac 3.88-3.95
Ac 0.2508 0.2588 0.7500  6 Ca 3.85-3.98, 2 Pr 3.87-3.88, 4 Ac 3.88-3.95
Ac 0.5000 0.5007 0.4996  4 Ac 3.88, 6 Ca 3.91-3.92, 2 Pr 3.91-3.93
Ac 0.5000 0.9995 0.0006  2 Pr 3.91-3.92, 6 Ca 3.91-3.92, 4 Ac 3.95
Ac 0.7492 0.2588 0.7500  6 Ca 3.85-3.98, 2 Pr 3.87-3.88, 4 Ac 3.88-3.95
Ac 0.7508 0.7412 0.2500  6 Ca 3.85-3.98, 2 Pr 3.87-3.88, 4 Ac 3.88-3.95
Pr 0.0000 0.4999 0.5007  8 Ac 3.87-3.93, 4 Ca 3.91-3.92
Pr 0.5000 0.5001 0.0007  8 Ac 3.87-3.93, 4 Ca 3.91-3.92

DFT formation energy: 0.0601 eV per atom
E: -3.34 eV/atom
Total moment: 0.00 μB/atom



Entry from Alexandria via LeMat-Bulk: a geometry-optimized Pr5YCd6 structure (GGA-PBE).

Lattice parameters (Å, degrees): 8.6282 8.6282 7.7582 90.00 90.00 143.23
Closest atoms and distances in Å follow each position.
Atoms (fractional coordinates):
Pr 0.0000 0.0000 0.0000  8 Cd 3.32-3.37
Pr 0.3310 0.6690 0.0000  8 Cd 3.37-3.41
Pr 0.3338 0.6662 0.5000  8 Cd 3.31-3.38
Pr 0.6662 0.3338 0.5000  8 Cd 3.31-3.38
Pr 0.6690 0.3310 0.0000  8 Cd 3.37-3.41
Y 0.0000 0.0000 0.5000  8 Cd 3.27-3.31
Cd 0.1628 0.8372 0.2551  1 Y 3.27, 7 Pr 3.32-3.39
Cd 0.1628 0.8372 0.7449  1 Y 3.27, 7 Pr 3.32-3.39
Cd 0.5000 0.5000 0.2569  6 Pr 3.31-3.41, 2 Y 3.31
Cd 0.5000 0.5000 0.7431  6 Pr 3.31-3.41, 2 Y 3.31
Cd 0.8372 0.1628 0.2551  1 Y 3.27, 7 Pr 3.32-3.39
Cd 0.8372 0.1628 0.7449  1 Y 3.27, 7 Pr 3.32-3.39

DFT formation energy: -0.3204 eV per atom
E: -3.31 eV/atom
Total moment: 0.18 μB/atom



Entry from Alexandria via LeMat-Bulk: a geometry-optimized InGaAu structure (GGA-PBE).

Lattice parameters (Å, degrees): 4.9610 4.9610 4.9610 133.54 133.54 67.81
Closest atoms and distances in Å follow each position.
Atoms (fractional coordinates):
In 0.0000 0.0000 0.0000  1 Ga 2.73, 1 Au 2.82
Ga 0.3310 0.3310 0.0000  1 Au 2.69, 1 In 2.73
Au 0.6571 0.6571 0.0000  1 Ga 2.69, 1 In 2.82

DFT formation energy: -0.0521 eV per atom
E: -3.07 eV/atom
Total moment: 0.00 μB/atom



Entry from Alexandria via LeMat-Bulk: a geometry-optimized CdOs2Br structure (GGA-PBE).

Lattice parameters (Å, degrees): 2.9638 2.9638 8.5019 90.00 90.00 90.00
Closest atoms and distances in Å follow each position.
Atoms (fractional coordinates):
Cd 0.0000 0.0000 0.0000  4 Os 2.92, 4 Cd 2.96
Os 0.0000 0.0000 0.4237  4 Os 2.62, 4 Br 2.87
Os 0.5000 0.5000 0.2392  4 Os 2.62, 4 Cd 2.92
Br 0.5000 0.5000 0.6542  4 Os 2.87, 4 Br 2.96

Polymorph energy (0 for the lowest one): 10.5 kJ per mole of atoms
E: -5.72 eV/atom
Total moment: 0.00 μB/atom



Entry from Alexandria via LeMat-Bulk: a geometry-optimized Be2NiSe2 structure (GGA-PBE).

Lattice parameters (Å, degrees): 6.7062 6.7062 6.7062 149.97 149.97 42.98
Closest atoms and distances in Å follow each position.
Atoms (fractional coordinates):
Be 0.2500 0.7500 0.5000  4 Se 2.27, 4 Be 2.46
Be 0.7500 0.2500 0.5000  4 Se 2.27, 4 Be 2.46
Ni 0.0000 0.0000 0.0000  8 Se 2.97
Se 0.3670 0.3670 0.0000  4 Be 2.27
Se 0.6330 0.6330 0.0000  4 Be 2.27

Polymorph energy (0 for the lowest one): 0.0 kJ per mole of atoms
E: -3.90 eV/atom
Total moment: 0.00 μB/atom



Question: Which formula does entry 11 have?
Answer: CdOs2Br